Entry 1:
Ba4C23 after structural relaxation, computed with PBE.

Results
The electronic total energy is -6.78 eV/atom. The calculation puts the total magnetic moment at 0.000 μB/atom. The value obtained for the formation energy is 1366 meV/atom. As for the density of states at the Fermi level: 0.259 states/eV/atom.

Lattice parameters (Å, degrees): 7.7614 7.7614 7.7614 90.00 90.00 90.00
Atoms (fractional coordinates):
Ba  0.0000  0.0000  0.0000
Ba  0.0000  0.2500  0.5000
Ba  0.0000  0.7500  0.5000
Ba  0.2500  0.5000  0.0000
Ba  0.5000  0.0000  0.2500
Ba  0.5000  0.0000  0.7500
Ba  0.5000  0.5000  0.5000
Ba  0.7500  0.5000  0.0000
C  0.0000  0.2999  0.1708
C  0.0000  0.2999  0.8292
C  0.0000  0.5000  0.2500
C  0.0000  0.5000  0.7500
C  0.0000  0.7001  0.1708
C  0.0000  0.7001  0.8292
C  0.1708  0.0000  0.2999
C  0.1708  0.0000  0.7001
C  0.1912  0.1912  0.1912
C  0.1912  0.1912  0.8088
C  0.1912  0.8088  0.1912
C  0.1912  0.8088  0.8088
C  0.2001  0.5000  0.3292
C  0.2001  0.5000  0.6708
C  0.2500  0.0000  0.5000
C  0.2999  0.1708  0.0000
C  0.2999  0.8292  0.0000
C  0.3088  0.3088  0.3088
C  0.3088  0.3088  0.6912
C  0.3088  0.6912  0.3088
C  0.3088  0.6912  0.6912
C  0.3292  0.2001  0.5000
C  0.3292  0.7999  0.5000
C  0.5000  0.2500  0.0000
C  0.5000  0.3292  0.2001
C  0.5000  0.3292  0.7999
C  0.5000  0.6708  0.2001
C  0.5000  0.6708  0.7999
C  0.5000  0.7500  0.0000
C  0.6708  0.2001  0.5000
C  0.6708  0.7999  0.5000
C  0.6912  0.3088  0.3088
C  0.6912  0.3088  0.6912
C  0.6912  0.6912  0.3088
C  0.6912  0.6912  0.6912
C  0.7001  0.1708  0.0000
C  0.7001  0.8292  0.0000
C  0.7500  0.0000  0.5000
C  0.7999  0.5000  0.3292
C  0.7999  0.5000  0.6708
C  0.8088  0.1912  0.1912
C  0.8088  0.1912  0.8088
C  0.8088  0.8088  0.1912
C  0.8088  0.8088  0.8088
C  0.8292  0.0000  0.2999
C  0.8292  0.0000  0.7001

***

Entry 2:
BaC after structural relaxation, computed with PBE.

Results
The electronic total energy is -3.91 eV/atom. The calculation puts the total magnetic moment at 0.001 μB/atom. The value obtained for the formation energy is 1666 meV/atom. As for the density of states at the Fermi level: 1.035 states/eV/atom. The calculation puts the offset from the most stable computed form at 1.5873 eV per atom.

Lattice parameters (Å, degrees): 6.4324 6.4324 6.4324 143.55 143.55 52.50
Atoms (fractional coordinates):
Ba  0.3750  0.6250  0.7500
Ba  0.6250  0.3750  0.2500
C  0.1250  0.8750  0.2500
C  0.8750  0.1250  0.7500

***

Entry 3:
BaC4 after structural relaxation, computed with PBE.

Results
The electronic total energy is -6.19 eV/atom. The calculation puts the total magnetic moment at 0.000 μB/atom. The value obtained for the formation energy is 1578 meV/atom. As for the density of states at the Fermi level: 0.373 states/eV/atom. The calculation puts the offset from the most stable computed form at 0.2321 eV per atom.

Lattice parameters (Å, degrees): 5.4655 5.4655 5.4655 144.64 144.64 50.87
Atoms (fractional coordinates):
Ba  0.0000  0.0000  0.0000
C  0.2500  0.7500  0.5000
C  0.2939  0.2939  0.0000
C  0.7061  0.7061  0.0000
C  0.7500  0.2500  0.5000

***

Entry 4:
BaC2 after structural relaxation, computed with PBE.

Results
The electronic total energy is -6.44 eV/atom. The calculation puts the total magnetic moment at 0.097 μB/atom. The value obtained for the formation energy is 351 meV/atom. As for the density of states at the Fermi level: 0.574 states/eV/atom.

Lattice parameters (Å, degrees): 7.1340 7.1340 5.4053 90.00 90.00 119.88
Atoms (fractional coordinates):
Ba  0.0000  0.0000  0.0000
Ba  0.3229  0.6771  0.5000
Ba  0.6771  0.3229  0.5000
C  0.0062  0.2116  0.5000
C  0.1828  0.1828  0.5000
C  0.2116  0.0062  0.5000
C  0.7884  0.9938  0.5000
C  0.8172  0.8172  0.5000
C  0.9938  0.7884  0.5000

***

Entry 5:
Ba5C7 after structural relaxation, computed with PBE.

Results
The electronic total energy is -5.76 eV/atom. The calculation puts the total magnetic moment at 0.163 μB/atom. The value obtained for the formation energy is 418 meV/atom. As for the density of states at the Fermi level: 0.597 states/eV/atom.

Lattice parameters (Å, degrees): 7.2972 7.2972 7.2972 108.76 108.76 110.90
Atoms (fractional coordinates):
Ba  0.0000  0.0000  0.0000
Ba  0.0682  0.0682  0.5439
Ba  0.0682  0.5243  0.0000
Ba  0.5243  0.0682  0.0000
Ba  0.5243  0.5243  0.4561
C  0.0221  0.3647  0.3426
C  0.0221  0.6795  0.6574
C  0.0225  0.5225  0.5000
C  0.3263  0.3263  0.0000
C  0.3647  0.0221  0.3426
C  0.5225  0.0225  0.5000
C  0.6795  0.0221  0.6574

***

Entry 6:
BaC after structural relaxation, computed with PBE.

Results
The electronic total energy is -4.11 eV/atom. The calculation puts the total magnetic moment at 0.990 μB/atom. The value obtained for the formation energy is 1461 meV/atom. As for the density of states at the Fermi level: 0.437 states/eV/atom. The calculation puts the offset from the most stable computed form at 1.3831 eV per atom.

Lattice parameters (Å, degrees): 4.0736 4.0736 3.7230 90.00 90.00 120.00
Atoms (fractional coordinates):
Ba  0.0000  0.0000  0.0000
C  0.6667  0.3333  0.5000

***

Entry 7:
BaC4 after structural relaxation, computed with PBE.

Results
The electronic total energy is -3.24 eV/atom. The calculation puts the total magnetic moment at 0.000 μB/atom. The value obtained for the formation energy is 4525 meV/atom. As for the density of states at the Fermi level: 0.792 states/eV/atom. The calculation puts the offset from the most stable computed form at 3.1790 eV per atom.

Lattice parameters (Å, degrees): 4.9571 4.9571 4.9571 109.47 109.47 109.47
Atoms (fractional coordinates):
Ba  0.0000  0.0000  0.0000
C  0.0000  0.0000  0.5000
C  0.0000  0.5000  0.0000
C  0.5000  0.0000  0.0000
C  0.5000  0.5000  0.5000

***

Entry 8:
BaC2 after structural relaxation, computed with PBE.

Results
The electronic total energy is -5.85 eV/atom. The calculation puts the total magnetic moment at 0.297 μB/atom. The value obtained for the formation energy is 945 meV/atom. As for the density of states at the Fermi level: 0.438 states/eV/atom.

Lattice parameters (Å, degrees): 4.8038 4.8038 6.3515 90.81 90.81 72.45
Atoms (fractional coordinates):
Ba  0.0000  0.0000  0.0000
Ba  0.6453  0.6453  0.4744
C  0.0092  0.0092  0.5307
C  0.3468  0.3468  0.1860
C  0.4746  0.4746  0.0493
C  0.6085  0.6085  0.9228

***

Entry 9:
BaC after structural relaxation, computed with PBE.

Results
The electronic total energy is -5.12 eV/atom. The calculation puts the total magnetic moment at 0.000 μB/atom. The value obtained for the formation energy is 452 meV/atom. As for the density of states at the Fermi level: 0.107 states/eV/atom. The calculation puts the offset from the most stable computed form at 0.3734 eV per atom.

Lattice parameters (Å, degrees): 5.4882 5.4882 8.2097 114.71 114.71 43.58
Atoms (fractional coordinates):
Ba  0.0000  0.0000  0.0000
Ba  0.6471  0.6471  0.6965
Ba  0.8009  0.8009  0.4147
C  0.3303  0.3303  0.1504
C  0.3553  0.3553  0.7006
C  0.4664  0.4664  0.2654

***

Entry 10:
BaC2 after structural relaxation, computed with PBE.

Results
The electronic total energy is -6.63 eV/atom. The calculation puts the total magnetic moment at 0.000 μB/atom. The value obtained for the formation energy is 156 meV/atom. As for the density of states at the Fermi level: 0.000 states/eV/atom.

Lattice parameters (Å, degrees): 4.1441 4.2566 4.5306 117.62 98.54 90.30
Atoms (fractional coordinates):
Ba  0.0000  0.0000  0.0000
C  0.4119  0.3872  0.7672
C  0.5964  0.2711  0.5464

***

Entry 11:
BaC after structural relaxation, computed with PBE.

Results
The electronic total energy is -5.42 eV/atom. The calculation puts the total magnetic moment at 0.000 μB/atom. The value obtained for the formation energy is 153 meV/atom. As for the density of states at the Fermi level: 0.594 states/eV/atom. The calculation puts the offset from the most stable computed form at 0.0749 eV per atom.

Lattice parameters (Å, degrees): 7.9690 7.9690 4.0365 98.73 98.73 27.97
Atoms (fractional coordinates):
Ba  0.1152  0.1152  0.1619
Ba  0.8848  0.8848  0.8381
C  0.4702  0.4702  0.3691
C  0.5298  0.5298  0.6309

***

Q: What is the formula in the fifth record?
A: Ba5C7